First-principles (GGA-PBE) data for a geometry-optimized SmP2Rh structure, as listed in Alexandria via LeMat-Bulk.

Geometry as extended XYZ:
```
4
Lattice="3.905 0.000 0.000 1.952 3.382 0.000 1.952 1.127 5.424" Properties=species:S:1:pos:R:3 pbc="T T T"
Rh 0.000 0.000 0.000
P 5.857 3.382 4.435
P 1.952 1.127 0.989
Sm 3.905 2.254 2.712
```

Computed properties:
Symmetry: No. 166
Energy above the lowest structure with this stoichiometry, eV per formula unit: 0.04
Formation enthalpy at 0 K, eV/f.u.: -4.14
Magnetization, μB/f.u.: 0.00